The following is a SCAN calculation of a PBEsol-optimized structure of Y2Hg, from Alexandria.

As for the formation energy: -0.52 eV/atom. The total energy is -41.8075 eV per atom. As for the density of states at the Fermi level: 9.3 states/eV per cell.

It has space group Cmcm (No. 63), with a = 3.679 Å, b = 16.527 Å, c = 5.233 Å, α = 90.00°, β = 90.00° and γ = 90.00°. The inequivalent atoms are Y at (0.000, 0.081, 0.250), Y at (0.000, 0.225, 0.750) and Hg at (0.000, 0.422, 0.250).



The following is a SCAN calculation of a PBEsol-optimized structure of Y2Hg3, from Alexandria.

As for the formation energy: -0.64 eV/atom. The total energy is -52.6811 eV per atom. As for the density of states at the Fermi level: 34.4 states/eV per cell.

It has space group Fdd2 (No. 43), with a = 10.553 Å, b = 14.979 Å, c = 6.091 Å, α = 90.00°, β = 90.00° and γ = 90.00°. The inequivalent atoms are Y at (0.071, 0.304, 0.000), Hg at (0.000, 0.000, 0.366) and Hg at (0.064, 0.384, 0.477).



The following is a SCAN calculation of a PBEsol-optimized structure of YHg4, from Alexandria.

As for the formation energy: -0.35 eV/atom. The total energy is -60.4479 eV per atom. As for the density of states at the Fermi level: 3.6 states/eV per cell.

It has space group I4/m (No. 87), with a = 6.914 Å, b = 6.914 Å, c = 4.731 Å, α = 90.00°, β = 90.00° and γ = 90.00°. The inequivalent atoms are Y at (0.000, 0.000, 0.000) and Hg at (0.078, 0.701, 0.500).



The following is a SCAN calculation of a PBEsol-optimized structure of YHg2, from Alexandria.

As for the formation energy: -0.54 eV/atom. The total energy is -55.2644 eV per atom. As for the density of states at the Fermi level: 6.3 states/eV per cell.

It has space group Fmmm (No. 69), with a = 4.980 Å, b = 4.997 Å, c = 11.166 Å, α = 90.00°, β = 90.00° and γ = 90.00°. The inequivalent atoms are Y at (0.000, 0.000, 0.000) and Hg at (0.000, 0.000, 0.330).



Among the records above, which one has the highest density of states at the Fermi level? Y2Hg3